Record 1
The following is a PBE calculation of crystalline LiRh5Se8 at its relaxed geometry, from Alexandria via LeMat-Bulk.

Cell and atoms, written as POSCAR:
```
LiRh5Se8
1.0
0.0000 5.2357 5.2357
5.2357 0.0000 5.2357
5.2357 5.2357 0.0000
Li Rh Se
1 5 8
Direct
0.0000 0.0000 0.0000
0.1183 0.6272 0.6272
0.2500 0.2500 0.2500
0.6272 0.1183 0.6272
0.6272 0.6272 0.1183
0.6272 0.6272 0.6272
0.3844 0.3844 0.3844
0.3844 0.3844 0.8470
0.3844 0.8470 0.3844
0.4118 0.8627 0.8627
0.8470 0.3844 0.3844
0.8627 0.4118 0.8627
0.8627 0.8627 0.4118
0.8627 0.8627 0.8627
```

The calculation puts the uncorrected formation energy at -6.42 eV/f.u. The final energy comes out at -5.212 eV/atom. As for the density of states at the Fermi level: 8.9 states/eV per cell.

=====

Record 2
The following is a PBE calculation of crystalline LiRh2Se2 at its relaxed geometry, from Alexandria via LeMat-Bulk.

Cell and atoms, written as POSCAR:
```
LiRh2Se2
1.0
4.7315 0.0000 0.0000
0.0000 4.7315 0.0000
0.0000 0.0000 8.3942
Li Rh Se
2 4 4
Direct
0.0000 0.0000 0.0000
0.5000 0.5000 0.5000
0.0000 0.0000 0.3466
0.0000 0.0000 0.6534
0.5000 0.5000 0.1534
0.5000 0.5000 0.8466
0.0000 0.5000 0.2500
0.0000 0.5000 0.7500
0.5000 0.0000 0.2500
0.5000 0.0000 0.7500
```

The calculation puts the uncorrected formation energy at -1.42 eV/f.u. The final energy comes out at -5.001 eV/atom. As for the density of states at the Fermi level: 6.3 states/eV per cell.

=====

Record 3
The following is a PBE calculation of crystalline Li2RhSe at its relaxed geometry, from Alexandria via LeMat-Bulk.

Cell and atoms, written as POSCAR:
```
Li2RhSe
1.0
3.7611 0.0000 0.0000
0.0000 3.7611 0.0000
0.0000 0.0000 7.9479
Li Rh Se
4 2 2
Direct
0.0000 0.5000 0.2500
0.0000 0.5000 0.7500
0.5000 0.0000 0.2500
0.5000 0.0000 0.7500
0.0000 0.0000 0.0000
0.5000 0.5000 0.5000
0.0000 0.0000 0.5000
0.5000 0.5000 0.0000
```

The calculation puts the uncorrected formation energy at -2.03 eV/f.u. The final energy comes out at -4.175 eV/atom. As for the density of states at the Fermi level: 2.1 states/eV per cell.

=====

Record 4
The following is a PBE calculation of crystalline Li3TaRh2Se6 at its relaxed geometry, from Alexandria via LeMat-Bulk.

Cell and atoms, written as POSCAR:
```
Li3TaRh2Se6
1.0
3.2826 -5.5624 0.0000
3.2826 5.5624 0.0000
-2.1428 0.0000 6.2624
Li Ta Rh Se
3 1 2 6
Direct
0.0000 0.0000 0.0000
0.3324 0.6676 0.0000
0.6676 0.3324 0.0000
0.5000 0.5000 0.5000
0.1694 0.8306 0.5000
0.8306 0.1694 0.5000
0.0823 0.4203 0.2729
0.2318 0.2318 0.7233
0.4203 0.0823 0.2729
0.5797 0.9177 0.7271
0.7682 0.7682 0.2767
0.9177 0.5797 0.7271
```

The calculation puts the uncorrected formation energy at -8.09 eV/f.u. The final energy comes out at -5.107 eV/atom. As for the density of states at the Fermi level: 8.2 states/eV per cell.

=====

Record 5
The following is a PBE calculation of crystalline LiTi2RhSe at its relaxed geometry, from Alexandria via LeMat-Bulk.

Cell and atoms, written as POSCAR:
```
LiTi2RhSe
1.0
4.4642 0.0000 0.0000
0.0000 4.4642 0.0000
0.0000 0.0000 4.0555
Li Ti Rh Se
1 2 1 1
Direct
0.0000 0.0000 0.0000
0.0000 0.5000 0.0000
0.5000 0.0000 0.0000
0.0000 0.0000 0.5000
0.5000 0.5000 0.5000
```

The calculation puts the uncorrected formation energy at 2.29 eV/f.u. The final energy comes out at -5.250 eV/atom. As for the density of states at the Fermi level: 6.5 states/eV per cell.

=====

Record 6
The following is a PBE calculation of crystalline Li3U3RhSe8 at its relaxed geometry, from Alexandria via LeMat-Bulk.

Cell and atoms, written as POSCAR:
```
Li3U3RhSe8
1.0
3.8731 2.2362 6.7153
-3.8731 2.2362 6.7153
0.0000 -4.4723 6.7153
Li U Rh Se
3 3 1 8
Direct
0.0000 0.5000 0.5000
0.5000 0.0000 0.5000
0.5000 0.5000 0.0000
0.0000 0.0000 0.5000
0.0000 0.5000 0.0000
0.5000 0.0000 0.0000
0.5000 0.5000 0.5000
0.2553 0.2553 0.2553
0.2641 0.2641 0.7281
0.2641 0.7281 0.2641
0.2719 0.7359 0.7359
0.7281 0.2641 0.2641
0.7359 0.2719 0.7359
0.7359 0.7359 0.2719
0.7447 0.7447 0.7447
```

The calculation puts the uncorrected formation energy at -15.80 eV/f.u. The final energy comes out at -6.042 eV/atom. As for the density of states at the Fermi level: 13.9 states/eV per cell.

=====

Record 7
The following is a PBE calculation of crystalline Li4U3RhSe8 at its relaxed geometry, from Alexandria via LeMat-Bulk.

Cell and atoms, written as POSCAR:
```
Li4U3RhSe8
1.0
3.8811 2.2408 6.6540
-3.8811 2.2408 6.6540
0.0000 -4.4816 6.6540
Li U Rh Se
4 3 1 8
Direct
0.0000 0.0000 0.0000
0.0000 0.5000 0.5000
0.5000 0.0000 0.5000
0.5000 0.5000 0.0000
0.0000 0.0000 0.5000
0.0000 0.5000 0.0000
0.5000 0.0000 0.0000
0.5000 0.5000 0.5000
0.2557 0.2557 0.2557
0.2586 0.2586 0.7325
0.2586 0.7325 0.2586
0.2675 0.7414 0.7414
0.7325 0.2586 0.2586
0.7414 0.2675 0.7414
0.7414 0.7414 0.2675
0.7443 0.7443 0.7443
```

The calculation puts the uncorrected formation energy at -16.98 eV/f.u. The final energy comes out at -5.858 eV/atom. As for the density of states at the Fermi level: 13.4 states/eV per cell.

=====

Record 8
The following is a PBE calculation of crystalline LiVRh2Se at its relaxed geometry, from Alexandria via LeMat-Bulk.

Cell and atoms, written as POSCAR:
```
LiVRh2Se
1.0
4.6087 0.0000 0.0000
0.0000 4.6087 0.0000
0.0000 0.0000 4.4772
Li V Rh Se
1 1 2 1
Direct
0.0000 0.0000 0.0000
0.5000 0.5000 0.0000
0.0000 0.5000 0.5000
0.5000 0.0000 0.5000
0.5000 0.5000 0.5000
```

The calculation puts the uncorrected formation energy at 2.16 eV/f.u. The final energy comes out at -5.413 eV/atom. As for the density of states at the Fermi level: 4.3 states/eV per cell.

=====

Look up the uncorrected formation energy of the third one.
-2.03 eV/f.u.